1.
A relaxed La8H3C3N crystal, computed with GGA-PBE.

a = 7.5153 Å, b = 7.5154 Å, c = 7.7637 Å
α = 118.98°, β = 90.00°, γ = 120.00°
Last column: magnetic moment on the atom in μB.
Element x y z (fractional)
La (0.2560, 0.5120, 0.2684)  0.00
La (0.7440, 0.4880, 0.7316)  0.00
La (0.7606, 0.5212, 0.2780)  0.06
La (0.2394, 0.4788, 0.7220)  0.06
La (0.7605, 0.0171, 0.2780)  0.06
La (0.2395, 0.9829, 0.7220)  0.06
La (0.2566, 0.0171, 0.2780)  0.06
La (0.7434, 0.9829, 0.7220)  0.06
H (0.0000, 0.0000, 0.0000)  0.00
H (0.0000, 0.5000, 0.0000)  0.00
H (0.5000, 0.5000, 0.0000)  0.00
C (0.5000, 0.0000, 0.5000)  -0.01
C (0.5000, 0.5000, 0.5000)  -0.01
C (0.0000, 0.5000, 0.5000)  -0.01
N (0.0000, 0.0000, 0.5000)  0.03

Results
E = -6.124 eV/atom
Magnetization = 1.27 μB per formula unit
SG = R-3m, No. 166
Fermi-level density of states = 7.7 states/eV/cell
Crystal system = trigonal

=====

2.
A relaxed SnBRu2Pt crystal, computed with GGA-PBE.

a = 4.1989 Å, b = 4.1989 Å, c = 4.1322 Å
α = 90.00°, β = 90.00°, γ = 90.00°
Element x y z (fractional)
Ru (0.0000, 0.5000, 0.0000)
Ru (0.5000, 0.0000, 0.0000)
B (0.0000, 0.0000, 0.0000)
Sn (0.5000, 0.5000, 0.5000)
Pt (0.0000, 0.0000, 0.5000)

Results
E = -7.162 eV/atom
Magnetization = 0.00 μB per formula unit
SG = P4/mmm, No. 123
Fermi-level density of states = 3.2 states/eV/cell
Crystal system = tetragonal
Energy relative to the elements = -107.3 meV per atom